No. 1
Ce8GaHg2: optimized geometry, PBE.

## Properties
- formation energy from the elements (meV/atom) = -108
- M_tot (μB per formula unit) = 4.5

Unit cell a=8.325 b=8.325 c=5.929 alpha=106.31 beta=106.31 gamma=118.04
Element x y z (fractional)
Ce 0.078 0.272 0.538
Ce 0.218 0.782 0.000
Ce 0.272 0.078 0.538
Ce 0.383 0.383 0.162
Ce 0.617 0.617 0.838
Ce 0.728 0.922 0.462
Ce 0.782 0.218 0.000
Ce 0.922 0.728 0.462
Ga 0.000 0.000 0.000
Hg 0.304 0.696 0.500
Hg 0.696 0.304 0.500

No. 2
CeGaHg: optimized geometry, PBE.

## Properties
- formation energy from the elements (meV/atom) = -249
- M_tot (μB per formula unit) = 1.1

Unit cell a=3.471 b=3.471 c=11.846 alpha=90.00 beta=90.00 gamma=90.00
Element x y z (fractional)
Ce 0.000 0.000 0.000
Ce 0.500 0.500 0.500
Ga 0.000 0.000 0.669
Ga 0.500 0.500 0.169
Hg 0.000 0.000 0.313
Hg 0.500 0.500 0.813